# 1
Below is a geometry-optimized ZnCu2Tc structure, with properties calculated at the PBE-GGA level.

Cell: 4.5575 4.5575 4.5575 Å, 130.77 130.77 72.17°
Each line ends with the local moment (μB).
Sites, in units of the cell vectors:
Zn  0.7500  0.2500  0.5000  -0.01
Cu  0.5000  0.5000  0.0000  0.06
Cu  0.0000  0.0000  0.0000  0.06
Tc  0.2500  0.7500  0.5000  0.72

Calculated values
Total moment, μB per atom: 0.213
Density of states at the Fermi level, states/eV/cell: 3.257
Density, g/cm3: 9.09
Formation energy, eV per atom: 0.2424

***

# 2
Below is a geometry-optimized KSrV structure, with properties calculated at the PBE-GGA level.

Cell: 5.9312 5.9323 9.4505 Å, 89.95 108.32 119.97°
Sites, in units of the cell vectors:
K  0.7587  0.2386  0.8320
K  0.9464  0.8319  0.6134
V  0.6802  0.6989  0.2149
V  0.5435  0.6307  0.0089
Sr  0.2756  0.9968  0.1076
Sr  0.0689  0.3932  0.2976

Calculated values
Total moment, μB per atom: 0.000
Excess energy over the best structure of this formula in the dataset, meV per atom: 241
Density of states at the Fermi level, states/eV/cell: 7.323
Density, g/cm3: 2.20
Formation energy, eV per atom: 0.7062